1.
Er2HfMg PBE relaxed; E_form = 0.14 eV/atom; ΔE to the lowest computed polymorph = 0.1360 eV per atom; symmetry = No. 123; uncorrected energy = -5.027 eV per atom
1.0
4.725 0.000 0.000
0.000 4.725 0.000
0.000 0.000 4.634
Er Hf Mg
2 1 1
direct
0.000 0.500 0.000
0.500 0.000 0.000
0.000 0.000 0.500
0.500 0.500 0.500



2.
Er2HfMgN4 PBE relaxed; ΔE_f (raw) = -36.00 kcal/mol of atoms; symmetry = No. 10; uncorrected energy = -8.308 eV per atom
1.0
5.704 0.000 0.000
0.000 3.318 0.000
-1.886 0.000 5.396
Er Hf Mg N
2 1 1 4
direct
0.000 0.000 0.000
0.000 0.500 0.500
0.500 0.000 0.500
0.500 0.500 0.000
0.261 0.000 0.742
0.265 0.500 0.263
0.735 0.500 0.737
0.739 0.000 0.258



3.
ErHfMgOs PBE relaxed; E_form = -0.19 eV/atom; symmetry = No. 216; uncorrected energy = -7.021 eV per atom
1.0
0.000 3.416 3.416
3.416 0.000 3.416
3.416 3.416 0.000
Er Hf Mg Os
1 1 1 1
direct
0.000 0.000 0.000
0.500 0.500 0.500
0.250 0.250 0.250
0.750 0.750 0.750



4.
ErHfMgRu PBE relaxed; E_form = -0.18 eV/atom; symmetry = No. 216; uncorrected energy = -6.531 eV per atom
1.0
0.000 3.428 3.428
3.428 0.000 3.428
3.428 3.428 0.000
Er Hf Mg Ru
1 1 1 1
direct
0.000 0.000 0.000
0.500 0.500 0.500
0.750 0.750 0.750
0.250 0.250 0.250



5.
ErHfMgTc PBE relaxed; E_form = -0.06 eV/atom; symmetry = No. 216; uncorrected energy = -6.683 eV per atom
1.0
0.000 3.437 3.437
3.437 0.000 3.437
3.437 3.437 0.000
Er Hf Mg Tc
1 1 1 1
direct
0.000 0.000 0.000
0.500 0.500 0.500
0.250 0.250 0.250
0.750 0.750 0.750



6.
ErHfThMg PBE relaxed; E_form = 0.14 eV/atom; symmetry = No. 216; uncorrected energy = -5.744 eV per atom
1.0
0.000 3.761 3.761
3.761 0.000 3.761
3.761 3.761 0.000
Er Hf Th Mg
1 1 1 1
direct
0.000 0.000 0.000
0.750 0.750 0.750
0.500 0.500 0.500
0.250 0.250 0.250



7.
ErTmHfMg PBE relaxed; E_form = 0.19 eV/atom; symmetry = No. 216; uncorrected energy = -4.955 eV per atom
1.0
0.000 3.730 3.730
3.730 0.000 3.730
3.730 3.730 0.000
Er Tm Hf Mg
1 1 1 1
direct
0.000 0.000 0.000
0.500 0.500 0.500
0.250 0.250 0.250
0.750 0.750 0.750



8.
ErHf2Mn PBE relaxed; E_form = 0.05 eV/atom; ΔE to the lowest computed polymorph = 0.0000 eV per atom; symmetry = No. 123; uncorrected energy = -8.365 eV per atom
1.0
3.201 0.000 0.000
0.000 3.201 0.000
0.000 0.000 8.220
Er Hf Mn
1 2 1
direct
0.000 0.000 0.000
0.500 0.500 0.317
0.500 0.500 0.683
0.000 0.000 0.500